# 1
This record from Alexandria describes crystalline SrYSi2 at its relaxed geometry. The functional is PBE-GGA.

Output
Space group: No. 35
Energy relative to the elements, uncorrected in eV per atom: -0.12

Cell: 3.507 3.507 8.391 Å, 90.00 90.00 97.65°
Positions (direct):
Y 0.500 0.500 0.832
Si 0.000 0.000 0.056
Si 0.500 0.500 0.172
Sr 0.000 0.000 0.440

***

# 2
This record from Alexandria describes crystalline HoThZn4 at its relaxed geometry. The functional is PBE-GGA.

Output
Energy of formation in meV per atom: -244
Space group: No. 119

Cell: 4.141 4.141 8.130 Å, 104.75 104.75 90.00°
Positions (direct):
Zn 0.670 0.170 0.339
Zn 0.416 0.416 0.833
Zn 0.830 0.330 0.661
Zn 0.584 0.584 0.167
Ho 0.250 0.750 0.500
Th 0.000 0.000 0.000

***

# 3
This record from Alexandria describes crystalline Pr6AlNi2Br3 at its relaxed geometry. The functional is PBE-GGA.

Output
Space group: No. 12
Energy relative to the elements, uncorrected in eV per atom: -0.75

Cell: 4.043 9.286 10.005 Å, 107.81 101.66 90.00°
Positions (direct):
Br 0.500 0.500 0.000
Br 0.162 0.834 0.325
Br 0.838 0.166 0.675
Pr 0.663 0.122 0.327
Pr 0.679 0.551 0.359
Pr 0.337 0.878 0.673
Pr 0.321 0.449 0.641
Pr 0.987 0.750 0.975
Pr 0.013 0.250 0.025
Ni 0.167 0.337 0.335
Ni 0.833 0.663 0.665
Al 0.500 0.000 0.000

***

# 4
This record from Alexandria describes crystalline Hf2Zr2Nb at its relaxed geometry. The functional is PBE-GGA.

Output
Energy of formation in meV per atom: 323
Space group: No. 127

Cell: 7.501 7.501 4.013 Å, 90.00 90.00 90.00°
Last column: magnetic moment on the atom in μB.
Positions (direct):
Zr 0.155 0.655 0.500  0.00
Zr 0.345 0.155 0.500  0.00
Zr 0.655 0.845 0.500  0.00
Zr 0.845 0.345 0.500  0.00
Nb 0.000 0.000 0.000  0.28
Nb 0.500 0.500 0.000  0.28
Hf 0.854 0.646 0.000  0.04
Hf 0.646 0.146 0.000  0.04
Hf 0.354 0.854 0.000  0.04
Hf 0.146 0.354 0.000  0.04

***

# 5
This record from Alexandria describes crystalline LiTc2HgO8 at its relaxed geometry. The functional is PBE-GGA.

Output
Space group: No. 12
Energy relative to the elements, uncorrected in eV per atom: -1.26

Cell: 5.730 6.745 7.077 Å, 57.73 66.12 64.86°
Positions (direct):
Tc 0.307 0.223 0.163
Tc 0.693 0.777 0.837
O 0.147 0.352 0.353
O 0.622 0.037 0.207
O 0.378 0.963 0.793
O 0.133 0.037 0.207
O 0.853 0.648 0.647
O 0.668 0.542 0.122
O 0.867 0.963 0.793
O 0.332 0.458 0.878
Li 0.000 0.000 0.000
Hg 0.500 0.500 0.500

***

no.,total energy (eV/atom)
1,-4.866
2,-3.093
3,-4.832
4,-9.091
5,-6.481